(1)
{
  "formula": "ZnTeRh2",
  "functional": "PBEsol",
  "state": "relaxed",
  "vol_a3_per_atom": 15.69,
  "relative_energy_mev_per_atom": 265,
  "e_tot_ha_per_atom": -0.1919,
  "magmom_total_mub_per_atom": 0.00,
  "cell": [[6.308, 0.000, 0.000], [0.000, 6.308, 0.000], [0.000, 0.000, 6.308]],
  "species": ["Zn", "Zn", "Zn", "Zn", "Te", "Te", "Te", "Te", "Rh", "Rh", "Rh", "Rh", "Rh", "Rh", "Rh", "Rh"],
  "fractional_positions": [[0.000, 0.000, 0.000], [0.000, 0.500, 0.500], [0.500, 0.000, 0.500], [0.500, 0.500, 0.000], [0.250, 0.250, 0.750], [0.250, 0.750, 0.250], [0.750, 0.250, 0.250], [0.750, 0.750, 0.750], [0.000, 0.000, 0.500], [0.000, 0.500, 0.000], [0.250, 0.250, 0.250], [0.250, 0.750, 0.750], [0.500, 0.000, 0.000], [0.500, 0.500, 0.500], [0.750, 0.250, 0.750], [0.750, 0.750, 0.250]]
}

=====

(2)
{
  "formula": "ZnTeRh2",
  "functional": "PBEsol",
  "state": "relaxed",
  "vol_a3_per_atom": 15.75,
  "relative_energy_mev_per_atom": 31,
  "e_tot_ha_per_atom": -0.2005,
  "magmom_total_mub_per_atom": 0.00,
  "cell": [[8.133, 0.000, 0.000], [0.000, 3.197, 0.000], [-1.130, 0.000, 4.845]],
  "species": ["Zn", "Zn", "Te", "Te", "Rh", "Rh", "Rh", "Rh"],
  "fractional_positions": [[0.000, 0.000, 0.000], [0.500, 0.500, 0.000], [0.000, 0.500, 0.500], [0.500, 0.000, 0.500], [0.250, 0.000, 0.753], [0.250, 0.500, 0.247], [0.750, 0.000, 0.247], [0.750, 0.500, 0.753]]
}

=====

(3)
{
  "formula": "Zn2Te2Rh",
  "functional": "PBEsol",
  "state": "relaxed",
  "vol_a3_per_atom": 21.61,
  "e_tot_ha_per_atom": -0.1062,
  "magmom_total_mub_per_atom": 0.00,
  "cell": [[4.285, 0.000, 0.000], [0.000, 4.285, 0.000], [0.000, 0.000, 11.773]],
  "species": ["Zn", "Zn", "Zn", "Zn", "Te", "Te", "Te", "Te", "Rh", "Rh"],
  "fractional_positions": [[0.000, 0.000, 0.095], [0.000, 0.000, 0.905], [0.500, 0.500, 0.405], [0.500, 0.500, 0.595], [0.000, 0.500, 0.250], [0.000, 0.500, 0.750], [0.500, 0.000, 0.250], [0.500, 0.000, 0.750], [0.000, 0.000, 0.500], [0.500, 0.500, 0.000]]
}

=====

Which formula does entry 1 have?
ZnTeRh2

=====

Please write out number 2 again, unchanged.
{
  "formula": "ZnTeRh2",
  "functional": "PBEsol",
  "state": "relaxed",
  "vol_a3_per_atom": 15.75,
  "relative_energy_mev_per_atom": 31,
  "e_tot_ha_per_atom": -0.2005,
  "magmom_total_mub_per_atom": 0.00,
  "cell": [[8.133, 0.000, 0.000], [0.000, 3.197, 0.000], [-1.130, 0.000, 4.845]],
  "species": ["Zn", "Zn", "Te", "Te", "Rh", "Rh", "Rh", "Rh"],
  "fractional_positions": [[0.000, 0.000, 0.000], [0.500, 0.500, 0.000], [0.000, 0.500, 0.500], [0.500, 0.000, 0.500], [0.250, 0.000, 0.753], [0.250, 0.500, 0.247], [0.750, 0.000, 0.247], [0.750, 0.500, 0.753]]
}